## i
A relaxed CsLaSi3 crystal. Source: Alexandria, functional PBE.

Values from the calculation:
* theoretical density: 3.8 g cm⁻³

Unit cell a=5.381 b=5.381 c=5.381 alpha=90.00 beta=90.00 gamma=90.00
Fractional coordinates of all 5 atoms:
Si 0.500 0.000 0.000
Si 0.000 0.000 0.500
Si 0.000 0.500 0.000
La 0.500 0.500 0.500
Cs 0.000 0.000 0.000



## ii
A relaxed CsLaSi3 crystal. Source: Alexandria, functional PBE.

Values from the calculation:
* theoretical density: 3.1 g cm⁻³

Unit cell a=5.730 b=5.730 c=5.730 alpha=90.00 beta=90.00 gamma=90.00
Fractional coordinates of all 5 atoms:
Cs 0.500 0.500 0.500
La 0.000 0.000 0.000
Si 0.000 0.500 0.000
Si 0.500 0.000 0.000
Si 0.000 0.000 0.500



What should be chosen as the most stable of them? Choose ii.



## i
A relaxed CsLaSi2 crystal. Source: Alexandria, functional PBE.

Values from the calculation:
* theoretical density: 4.6 g cm⁻³

Unit cell a=5.524 b=5.524 c=5.524 alpha=60.00 beta=60.00 gamma=60.00
Fractional coordinates of all 4 atoms:
Si 0.750 0.750 0.750
Si 0.250 0.250 0.250
Cs 0.000 0.000 0.000
La 0.500 0.500 0.500



## ii
A relaxed CsLaSi2 crystal. Source: Alexandria, functional PBE.

Values from the calculation:
* theoretical density: 3.6 g cm⁻³

Unit cell a=5.354 b=5.354 c=11.208 alpha=76.18 beta=76.18 gamma=90.00
Fractional coordinates of all 8 atoms:
Si 0.375 0.124 0.750
Si 0.874 0.625 0.250
Si 0.875 0.126 0.750
Si 0.876 0.125 0.250
La 0.000 0.000 0.000
La 0.750 0.250 0.500
Cs 0.250 0.750 0.500
Cs 0.500 0.500 0.000



What should be chosen as the most stable of them? Choose ii.



## i
A relaxed Cs2LaSn2 crystal. Source: Alexandria, functional PBE.

Values from the calculation:
* theoretical density: 5.3 g cm⁻³

Unit cell a=4.827 b=4.827 c=9.340 alpha=75.03 beta=75.03 gamma=90.00
Fractional coordinates of all 5 atoms:
Sn 0.420 0.420 0.160
Sn 0.580 0.580 0.840
Cs 0.750 0.250 0.500
Cs 0.250 0.750 0.500
La 0.000 0.000 0.000



## ii
A relaxed Cs2LaSn2 crystal. Source: Alexandria, functional PBE.

Values from the calculation:
* theoretical density: 4.6 g cm⁻³

Unit cell a=8.332 b=8.332 c=6.637 alpha=90.00 beta=90.00 gamma=90.00
Fractional coordinates of all 10 atoms:
Sn 0.377 0.877 0.000
Sn 0.877 0.623 0.000
Sn 0.623 0.123 0.000
Sn 0.123 0.377 0.000
La 0.500 0.500 0.000
La 0.000 0.000 0.000
Cs 0.831 0.331 0.500
Cs 0.331 0.169 0.500
Cs 0.669 0.831 0.500
Cs 0.169 0.669 0.500



What should be chosen as the most stable of them? Choose i.